Record 1
Here is a relaxed FeAsOs2Br crystal from the Alexandria database. Energies are from PBE-GGA.

## Properties
* energy relative to the elements, uncorrected: 1.675 eV per atom
* energy: -28.869 eV per cell
* DOS(E_F): 7.05 states/eV/f.u.
* spin magnetization: 0.00 μB/cell

Cell: 4.6000 4.6000 4.3465 Å, 90.00 90.00 90.00°
With the nearest neighbours (Å) after each atom.
Atoms (fractional coordinates):
Fe: 0.0000 0.0000 0.0000  2 As 2.17, 4 Os 2.30
As: 0.0000 0.0000 0.5000  2 Fe 2.17
Os: 0.0000 0.5000 0.0000  2 Fe 2.30
Os: 0.5000 0.0000 0.0000  2 Fe 2.30
Br: 0.5000 0.5000 0.5000  8 Os 3.16, 4 As 3.25

=====

Record 2
Here is a relaxed TbNiC crystal from the Alexandria database. Energies are from PBE-GGA.

## Properties
* energy: -80.481 eV per cell
* DOS(E_F): 2.07 states/eV/f.u.
* spin magnetization: 0.00 μB/cell
* energy of formation from the pure elements: -162 meV/atom

Cell: 5.9966 3.4429 8.0708 Å, 90.00 90.00 90.00°
With the nearest neighbours (Å) after each atom.
Atoms (fractional coordinates):
Tb: 0.0076 0.2500 0.1797  3 C 2.58-2.62, 2 Ni 2.80-2.88
Tb: 0.4924 0.7500 0.6797  3 C 2.58-2.62, 2 Ni 2.80-2.88
Tb: 0.5076 0.2500 0.3203  3 C 2.58-2.62, 2 Ni 2.80-2.88
Tb: 0.9924 0.7500 0.8203  3 C 2.58-2.62, 2 Ni 2.80-2.88
Ni: 0.1299 0.2500 0.5250  3 C 1.94-2.10
Ni: 0.3701 0.7500 0.0250  3 C 1.94-2.10
Ni: 0.6299 0.2500 0.9750  3 C 1.94-2.10
Ni: 0.8701 0.7500 0.4750  3 C 1.94-2.10
C: 0.2168 0.7500 0.4341  3 Ni 1.94-2.10
C: 0.2832 0.2500 0.9341  3 Ni 1.94-2.10
C: 0.7168 0.7500 0.0659  3 Ni 1.94-2.10
C: 0.7832 0.2500 0.5659  3 Ni 1.94-2.10

=====

Record 3
Here is a relaxed YCu2Ir crystal from the Alexandria database. Energies are from PBE-GGA.

## Properties
* energy: -24.394 eV per cell
* DOS(E_F): 2.21 states/eV/f.u.
* spin magnetization: 0.00 μB/cell
* energy of formation from the pure elements: -219 meV/atom

Cell: 4.5116 4.5116 4.5116 Å, 60.00 60.00 60.00°
With the nearest neighbours (Å) after each atom.
Atoms (fractional coordinates):
Y: 0.0000 0.0000 0.0000  8 Cu 2.76
Cu: 0.2500 0.2500 0.2500  4 Ir 2.76, 4 Y 2.76
Cu: 0.7500 0.7500 0.7500  4 Ir 2.76, 4 Y 2.76
Ir: 0.5000 0.5000 0.5000  8 Cu 2.76

=====

Record 4
Here is a relaxed Ho2IrPb2 crystal from the Alexandria database. Energies are from PBE-GGA.

## Properties
* energy: -27.765 eV per cell
* DOS(E_F): 2.58 states/eV/f.u.
* spin magnetization: 0.00 μB/cell
* energy of formation from the pure elements: -466 meV/atom

Cell: 11.0053 11.0053 11.0053 Å, 161.78 161.78 25.88°
With the nearest neighbours (Å) after each atom.
Atoms (fractional coordinates):
Ho: 0.0760 0.0760 0.0000  4 Ir 2.95, 1 Ho 3.26
Ho: 0.9240 0.9240 0.0000  4 Ir 2.95, 1 Ho 3.26
Ir: 0.5000 0.5000 0.0000  8 Ho 2.95
Pb: 0.3090 0.3090 0.0000  8 Pb 3.49-3.53, 4 Ho 3.49
Pb: 0.6910 0.6910 0.0000  8 Pb 3.49-3.53, 4 Ho 3.49

=====

Record 5
Here is a relaxed ScBiS crystal from the Alexandria database. Energies are from PBE-GGA.

## Properties
* energy relative to the elements, uncorrected: -1.137 eV per atom
* energy: -35.501 eV per cell
* DOS(E_F): 1.21 states/eV/f.u.
* spin magnetization: 0.00 μB/cell

Cell: 3.6953 5.1237 8.5502 Å, 90.00 102.54 90.00°
With the nearest neighbours (Å) after each atom.
Atoms (fractional coordinates):
Sc: 0.2018 0.2500 0.4044  4 S 2.53-2.57
Sc: 0.7982 0.7500 0.5956  4 S 2.53-2.57
Bi: 0.4553 0.7500 0.9025  2 Bi 3.04, 2 Sc 3.15-3.16
Bi: 0.5447 0.2500 0.0975  2 Bi 3.04, 2 Sc 3.15-3.16
S: 0.1945 0.7500 0.3885  4 Sc 2.53-2.57
S: 0.8055 0.2500 0.6115  4 Sc 2.53-2.57

=====

Record 6
Here is a relaxed La3AuC crystal from the Alexandria database. Energies are from PBE-GGA.

## Properties
* energy: -55.399 eV per cell
* DOS(E_F): 4.42 states/eV/f.u.
* spin magnetization: 0.00 μB/cell
* energy of formation from the pure elements: -83 meV/atom

Cell: 8.1815 8.1815 8.1815 Å, 54.15 54.15 54.15°
With the nearest neighbours (Å) after each atom.
Atoms (fractional coordinates):
La: 0.0594 0.7500 0.4406  1 C 2.30
La: 0.2500 0.5594 0.9406  1 C 2.30
La: 0.4406 0.0594 0.7500  1 C 2.30
La: 0.5594 0.9406 0.2500  1 C 2.30
La: 0.7500 0.4406 0.0594  1 C 2.30
La: 0.9406 0.2500 0.5594  1 C 2.30
Au: 0.0000 0.0000 0.0000  6 La 3.11
Au: 0.5000 0.5000 0.5000  6 La 3.11
C: 0.2500 0.2500 0.2500  3 La 2.30
C: 0.7500 0.7500 0.7500  3 La 2.30

=====

Record 7
Here is a relaxed ZrReBr2 crystal from the Alexandria database. Energies are from PBE-GGA.

## Properties
* energy relative to the elements, uncorrected: 0.740 eV per atom
* energy: -21.384 eV per cell
* DOS(E_F): 3.52 states/eV/f.u.
* spin magnetization: 0.02 μB/cell

Cell: 4.3911 4.3911 3.8556 Å, 90.00 90.00 90.00°
With the nearest neighbours (Å) after each atom.
Atoms (fractional coordinates):
Zr: 0.0000 0.0000 0.0000  8 Br 2.92, 4 Re 3.11
Re: 0.5000 0.5000 0.0000  8 Br 2.92, 4 Zr 3.11
Br: 0.0000 0.5000 0.5000  4 Zr 2.92, 4 Re 2.92, 4 Br 3.11
Br: 0.5000 0.0000 0.5000  4 Zr 2.92, 4 Re 2.92, 4 Br 3.11

=====

Record 8
Here is a relaxed LiGdYMn crystal from the Alexandria database. Energies are from PBE-GGA.

## Properties
* energy: -31.021 eV per cell
* DOS(E_F): 4.52 states/eV/f.u.
* spin magnetization: 9.67 μB/cell
* energy of formation from the pure elements: 152 meV/atom

Cell: 5.0644 5.0644 5.0644 Å, 60.00 60.00 60.00°
With the nearest neighbours (Å) after each atom.
Atoms (fractional coordinates):
Li: 0.0000 0.0000 0.0000  4 Gd 3.10, 4 Y 3.10
Gd: 0.7500 0.7500 0.7500  4 Mn 3.10, 4 Li 3.10
Y: 0.2500 0.2500 0.2500  4 Mn 3.10, 4 Li 3.10
Mn: 0.5000 0.5000 0.5000  4 Y 3.10, 4 Gd 3.10

=====

Record 9
Here is a relaxed Dy4HgRh2 crystal from the Alexandria database. Energies are from PBE-GGA.

## Properties
* energy: -75.224 eV per cell
* DOS(E_F): 3.98 states/eV/f.u.
* spin magnetization: 0.00 μB/cell
* energy of formation from the pure elements: -600 meV/atom

Cell: 7.6318 7.6318 7.6318 Å, 108.87 108.87 110.68°
With the nearest neighbours (Å) after each atom.
Atoms (fractional coordinates):
Dy: 0.0082 0.3990 0.2553  2 Rh 2.73-2.89, 1 Hg 3.00
Dy: 0.1437 0.7528 0.7447  2 Rh 2.73-2.89, 1 Hg 3.00
Dy: 0.1490 0.2582 0.7553  2 Rh 2.73-2.89, 1 Hg 3.00
Dy: 0.2472 0.9918 0.3909  2 Rh 2.73-2.89, 1 Hg 3.00
Dy: 0.5028 0.3937 0.2447  2 Rh 2.73-2.89, 1 Hg 3.00
Dy: 0.6010 0.8563 0.6091  2 Rh 2.73-2.89, 1 Hg 3.00
Dy: 0.6063 0.8510 0.1091  2 Rh 2.73-2.89, 1 Hg 3.00
Dy: 0.7418 0.4972 0.8909  2 Rh 2.73-2.89, 1 Hg 3.00
Hg: 0.0000 0.0000 0.0000  8 Dy 3.00-3.29
Hg: 0.7500 0.2500 0.5000  8 Dy 3.00-3.29
Rh: 0.2478 0.6250 0.1228  4 Dy 2.73-2.89
Rh: 0.3750 0.4978 0.6228  4 Dy 2.73-2.89
Rh: 0.5022 0.1250 0.8772  4 Dy 2.73-2.89
Rh: 0.8750 0.7522 0.3772  4 Dy 2.73-2.89

=====

Record 10
Here is a relaxed PmHo7Cd4 crystal from the Alexandria database. Energies are from PBE-GGA.

## Properties
* energy: -40.324 eV per cell
* DOS(E_F): 14.01 states/eV/f.u.
* spin magnetization: 0.00 μB/cell
* energy of formation from the pure elements: 11 meV/atom

Cell: 7.8674 7.8674 9.7030 Å, 119.57 119.57 42.44°
With the nearest neighbours (Å) after each atom.
Atoms (fractional coordinates):
Pm: 0.0000 0.0000 0.0000  2 Ho 2.85
Ho: 0.0716 0.0716 0.4139  3 Cd 3.10-3.19, 2 Ho 3.31-3.47
Ho: 0.2059 0.2059 0.8801  3 Cd 3.32-3.52, 5 Ho 3.47-3.54
Ho: 0.2629 0.2629 0.3074  4 Cd 2.97-3.17
Ho: 0.5000 0.5000 0.0000  2 Pm 2.85, 4 Cd 2.95-3.16
Ho: 0.7371 0.7371 0.6926  4 Cd 2.97-3.17
Ho: 0.7941 0.7941 0.1199  3 Cd 3.32-3.52, 5 Ho 3.47-3.54
Ho: 0.9284 0.9284 0.5861  3 Cd 3.10-3.19, 2 Ho 3.31-3.47
Cd: 0.3181 0.3181 0.6592  5 Ho 2.95-3.17, 1 Cd 3.04
Cd: 0.4585 0.4585 0.2883  4 Ho 2.97-3.19, 1 Cd 3.04
Cd: 0.5415 0.5415 0.7117  4 Ho 2.97-3.19, 1 Cd 3.04
Cd: 0.6819 0.6819 0.3408  5 Ho 2.95-3.17, 1 Cd 3.04

=====

Record 11
Here is a relaxed TaNiSb crystal from the Alexandria database. Energies are from PBE-GGA.

## Properties
* energy relative to the elements, uncorrected: 0.034 eV per atom
* energy: -21.654 eV per cell
* DOS(E_F): 0.55 states/eV/f.u.
* spin magnetization: 0.00 μB/cell

Cell: 4.0984 4.0984 3.6973 Å, 90.00 90.00 120.00°
With the nearest neighbours (Å) after each atom.
Atoms (fractional coordinates):
Ta: 0.0000 0.0000 0.0000  3 Ni 2.51
Ni: 0.6667 0.3333 0.2230  3 Ta 2.51, 3 Sb 2.59
Sb: 0.3333 0.6667 0.5085  3 Ni 2.59

=====

Record 12
Here is a relaxed SrTaTe2 crystal from the Alexandria database. Energies are from PBE-GGA.

## Properties
* energy relative to the elements, uncorrected: 0.099 eV per atom
* energy: -19.422 eV per cell
* DOS(E_F): 3.30 states/eV/f.u.
* spin magnetization: 2.83 μB/cell

Cell: 6.7394 6.7394 6.7394 Å, 142.13 142.13 54.64°
With the nearest neighbours (Å) after each atom.
Atoms (fractional coordinates):
Sr: 0.0000 0.0000 0.0000  4 Te 3.09
Ta: 0.2500 0.7500 0.5000  4 Te 3.09
Te: 0.5000 0.5000 0.0000  4 Sr 3.09
Te: 0.7500 0.2500 0.5000  4 Ta 3.09